Computed, not measured: a relaxed BaHf2MgH crystal at the PBE level of DFT.

Calculated values
- Uncorrected energy: -2.9437 eV per atom
- Fermi-level density of states: 4.68 states/eV/cell

Unit cell a=5.499 b=6.030 c=5.499 alpha=90.00 beta=90.00 gamma=90.00
Each line ends with the local moment (μB).
Element x y z (fractional)
H (0.500, 0.500, 0.500)  0.27
Ba (0.000, 0.000, 0.000)  0.04
Mg (0.000, 0.500, 0.000)  0.01
Hf (0.000, 0.000, 0.500)  0.01
Hf (0.500, 0.000, 0.000)  0.06

Computed, not measured: a relaxed Mg2AlTe crystal at the PBE level of DFT.

Calculated values
- Fermi-level density of states: 0.41 states/eV/cell
- Raw formation energy: -2.59 kcal/mol of atoms
- Distance to the lowest polymorph of the same formula: 27 meV per atom

Unit cell a=8.692 b=8.692 c=8.692 alpha=24.12 beta=24.12 gamma=24.12
Element x y z (fractional)
Te (0.250, 0.250, 0.250)
Al (0.750, 0.750, 0.750)
Mg (0.000, 0.000, 0.000)
Mg (0.500, 0.500, 0.500)

Computed, not measured: a relaxed Li12Cd5Ag2 crystal at the PBE level of DFT.

Calculated values
- Fermi-level density of states: 8.39 states/eV/cell
- Distance to the lowest polymorph of the same formula: 0 meV per atom
- Formation energy from the elements: -0.177 eV per atom

Unit cell a=4.619 b=10.285 c=10.285 alpha=48.42 beta=75.76 gamma=75.76
Element x y z (fractional)
Li (0.192, 0.073, 0.537)
Li (0.076, 0.419, 0.419)
Li (0.192, 0.537, 0.073)
Li (0.808, 0.927, 0.463)
Li (0.581, 0.632, 0.202)
Li (0.419, 0.798, 0.368)
Li (0.097, 0.900, 0.900)
Li (0.903, 0.100, 0.100)
Li (0.808, 0.463, 0.927)
Li (0.924, 0.581, 0.581)
Li (0.419, 0.368, 0.798)
Li (0.581, 0.202, 0.632)
Cd (0.697, 0.296, 0.296)
Cd (0.312, 0.186, 0.186)
Cd (0.303, 0.704, 0.704)
Cd (0.688, 0.814, 0.814)
Cd (0.500, 0.000, 0.000)
Ag (0.000, 0.771, 0.229)
Ag (0.000, 0.229, 0.771)

Computed, not measured: a relaxed PmNpPb crystal at the PBE level of DFT.

Calculated values
- Fermi-level density of states: 14.06 states/eV/cell
- Formation energy from the elements: -0.078 eV per atom

Unit cell a=4.405 b=4.405 c=9.064 alpha=90.00 beta=90.00 gamma=90.00
Each line ends with the local moment (μB).
Element x y z (fractional)
Pm (0.000, 0.500, 0.645)  0.08
Pm (0.500, 0.000, 0.355)  0.08
Np (0.000, 0.000, 0.000)  4.25
Np (0.500, 0.500, 0.000)  4.25
Pb (0.000, 0.500, 0.276)  -0.05
Pb (0.500, 0.000, 0.724)  -0.05

Computed, not measured: a relaxed MnFeCu crystal at the PBE level of DFT.

Calculated values
- Fermi-level density of states: 5.76 states/eV/cell
- Distance to the lowest polymorph of the same formula: 0 meV per atom
- Formation energy from the elements: 0.139 eV per atom

Unit cell a=3.579 b=4.365 c=8.478 alpha=110.24 beta=114.96 gamma=34.90
Each line ends with the local moment (μB).
Element x y z (fractional)
Cu (0.772, 0.075, 0.798)  0.05
Cu (0.608, 0.576, 0.635)  0.05
Mn (0.273, 0.576, 0.302)  -1.35
Mn (0.105, 0.075, 0.132)  -1.35
Fe (0.429, 0.075, 0.456)  2.14
Fe (0.951, 0.575, 0.978)  2.14

Computed, not measured: a relaxed Dy2MgSn9 crystal at the PBE level of DFT.

Calculated values
- Fermi-level density of states: 3.42 states/eV/cell
- Formation energy from the elements: -0.292 eV per atom

Unit cell a=4.628 b=4.628 c=14.634 alpha=90.00 beta=90.00 gamma=90.00
Element x y z (fractional)
Sn (0.000, 0.500, 0.164)
Sn (0.500, 0.000, 0.836)
Sn (0.500, 0.500, 0.671)
Sn (0.500, 0.500, 0.000)
Sn (0.500, 0.500, 0.329)
Sn (0.500, 0.000, 0.164)
Sn (0.500, 0.000, 0.500)
Sn (0.000, 0.500, 0.836)
Sn (0.000, 0.500, 0.500)
Mg (0.000, 0.000, 0.000)
Dy (0.000, 0.000, 0.339)
Dy (0.000, 0.000, 0.661)

- Number 6 is which compound?
  Dy2MgSn9

- Among the records above, which one has the highest Fermi-level density of states?
  PmNpPb